Entry 1:
VASP calculation (GGA-PBE) on a geometry-optimized BHPd5 structure.

abc: 5.558 5.558 7.490
angles: 98.35 98.35 125.87
Positions (direct):
B: 0.000 0.000 0.000
B: 0.000 0.000 0.500
H: 0.478 0.522 0.250
H: 0.522 0.478 0.750
Pd: 0.057 0.372 0.158
Pd: 0.737 0.510 0.448
Pd: 0.372 0.057 0.658
Pd: 0.099 0.901 0.250
Pd: 0.490 0.263 0.052
Pd: 0.510 0.737 0.948
Pd: 0.901 0.099 0.750
Pd: 0.628 0.943 0.342
Pd: 0.263 0.490 0.552
Pd: 0.943 0.628 0.842

Calculated values
Density of states at the Fermi level (states/eV/atom): 0.331
Raw total energy (eV/atom): -5.279

***

Entry 2:
VASP calculation (GGA-PBE) on a geometry-optimized BHPd3 structure.

abc: 5.366 5.366 5.867
angles: 108.00 108.00 119.14
Positions (direct):
B: 0.669 0.331 0.000
B: 0.331 0.669 0.000
H: 0.225 0.225 0.349
H: 0.775 0.775 0.651
Pd: 0.823 0.159 0.247
Pd: 0.177 0.841 0.753
Pd: 0.841 0.177 0.753
Pd: 0.159 0.823 0.247
Pd: 0.499 0.499 0.751
Pd: 0.501 0.501 0.249

Calculated values
Excess energy over the best structure of this formula in the dataset (eV per atom): 0.0000
Density of states at the Fermi level (states/eV/atom): 0.334
Raw total energy (eV/atom): -5.306

***

Entry 3:
VASP calculation (GGA-PBE) on a geometry-optimized B2H6Pd structure.

abc: 4.271 4.271 4.271
angles: 60.00 60.00 60.00
Positions (direct):
B: 0.750 0.750 0.750
B: 0.250 0.250 0.250
H: 0.292 0.708 0.708
H: 0.708 0.708 0.292
H: 0.708 0.292 0.708
H: 0.708 0.292 0.292
H: 0.292 0.292 0.708
H: 0.292 0.708 0.292
Pd: 0.000 0.000 0.000

Calculated values
Excess energy over the best structure of this formula in the dataset (eV per atom): 0.9922
Density of states at the Fermi level (states/eV/atom): 0.238
Raw total energy (eV/atom): -3.143

***

Entry 4:
VASP calculation (GGA-PBE) on a geometry-optimized BH2Pd8 structure.

abc: 4.866 5.766 5.766
angles: 60.07 89.88 89.88
Positions (direct):
B: 0.000 0.000 0.000
H: 0.429 0.333 0.333
H: 0.571 0.667 0.667
Pd: 0.259 0.668 0.166
Pd: 0.741 0.834 0.332
Pd: 0.258 0.166 0.166
Pd: 0.742 0.834 0.834
Pd: 0.259 0.166 0.668
Pd: 0.741 0.332 0.834
Pd: 0.778 0.333 0.333
Pd: 0.222 0.667 0.667

Calculated values
Excess energy over the best structure of this formula in the dataset (eV per atom): 0.0158
Density of states at the Fermi level (states/eV/atom): 0.981
Raw total energy (eV/atom): -5.100

***

Entry 5:
VASP calculation (GGA-PBE) on a geometry-optimized BHPd6 structure.

abc: 5.067 5.072 4.979
angles: 59.38 79.97 70.00
Positions (direct):
B: 0.500 0.500 0.000
H: 0.000 0.000 0.000
Pd: 0.756 0.412 0.661
Pd: 0.756 0.074 0.339
Pd: 0.244 0.926 0.661
Pd: 0.244 0.588 0.339
Pd: 0.750 0.751 0.000
Pd: 0.250 0.249 0.000

Calculated values
Density of states at the Fermi level (states/eV/atom): 0.489
Raw total energy (eV/atom): -5.321

***

Entry 6:
VASP calculation (GGA-PBE) on a geometry-optimized B3HPd structure.

abc: 4.066 4.066 4.066
angles: 90.00 90.00 90.00
Positions (direct):
H: 0.500 0.500 0.500
B: 0.000 0.500 0.000
B: 0.000 0.000 0.500
B: 0.500 0.000 0.000
Pd: 0.000 0.000 0.000

Calculated values
Excess energy over the best structure of this formula in the dataset (eV per atom): 0.2355
Density of states at the Fermi level (states/eV/atom): 0.013
Raw total energy (eV/atom): -4.064

***

Entry 7:
VASP calculation (GGA-PBE) on a geometry-optimized BH6Pd12 structure.

abc: 5.799 5.698 7.680
angles: 99.69 112.27 105.27
Positions (direct):
B: 0.000 0.000 0.000
H: 0.184 0.313 0.694
H: 0.684 0.489 0.606
H: 0.334 0.830 0.733
H: 0.816 0.687 0.306
H: 0.316 0.511 0.394
H: 0.666 0.170 0.267
Pd: 0.336 0.273 0.528
Pd: 0.163 0.725 0.465
Pd: 0.661 0.385 0.123
Pd: 0.664 0.727 0.472
Pd: 0.837 0.275 0.535
Pd: 0.339 0.615 0.877
Pd: 0.168 0.047 0.802
Pd: 0.330 0.946 0.201
Pd: 0.165 0.393 0.127
Pd: 0.832 0.953 0.198
Pd: 0.670 0.054 0.799
Pd: 0.835 0.607 0.873

Calculated values
Excess energy over the best structure of this formula in the dataset (eV per atom): 0.0000
Density of states at the Fermi level (states/eV/atom): 0.149
Raw total energy (eV/atom): -4.810

***

Entry 8:
VASP calculation (GGA-PBE) on a geometry-optimized BH2Pd structure.

abc: 3.463 3.463 3.463
angles: 60.00 60.00 60.00
Positions (direct):
H: 0.250 0.250 0.250
H: 0.750 0.750 0.750
B: 0.000 0.000 0.000
Pd: 0.500 0.500 0.500

Calculated values
Excess energy over the best structure of this formula in the dataset (eV per atom): 0.5334
Density of states at the Fermi level (states/eV/atom): 0.602
Raw total energy (eV/atom): -3.461

***

> density of states at the Fermi level of number 3 (B2H6Pd)?

0.238 states/eV/atom